Record 1
A relaxed BePbO2F crystal. Source: the Alexandria database, functional PBE-GGA.

a = 4.309 Å, b = 4.309 Å, c = 4.375 Å
α = 90.00°, β = 90.00°, γ = 90.00°
Fractional positions:
Be: 0.000 0.000 0.000
Pb: 0.500 0.500 0.500
O: 0.000 0.500 0.500
O: 0.500 0.000 0.500
F: 0.500 0.500 0.000

Results
V	16.244	Å³/atom
uncorrected energy	-4.078	eV per atom
crystal system	tetragonal

Record 2
A relaxed TiTePb2 crystal. Source: the Alexandria database, functional PBE-GGA.

a = 12.083 Å, b = 12.083 Å, c = 12.083 Å
α = 159.32°, β = 159.32°, γ = 29.40°
Fractional positions:
Ti: 0.000 0.000 0.000
Ti: 0.750 0.250 0.500
Te: 0.250 0.750 0.500
Te: 0.500 0.500 0.000
Pb: 0.121 0.625 0.996
Pb: 0.375 0.371 0.496
Pb: 0.629 0.125 0.004
Pb: 0.875 0.879 0.504

Results
V	27.475	Å³/atom
uncorrected energy	-4.392	eV per atom
crystal system	tetragonal

Record 3
A relaxed Lu3Al crystal. Source: the Alexandria database, functional PBE-GGA.

a = 5.812 Å, b = 5.812 Å, c = 5.812 Å
α = 133.57°, β = 133.57°, γ = 67.77°
Fractional positions:
Lu: 0.000 0.000 0.000
Lu: 0.250 0.750 0.500
Lu: 0.750 0.250 0.500
Al: 0.500 0.500 0.000

Results
V	25.327	Å³/atom
energy of formation	-0.15	eV per atom
crystal system	tetragonal

Record 4
A relaxed K2CuIrO6 crystal. Source: the Alexandria database, functional PBE-GGA.

a = 5.664 Å, b = 5.664 Å, c = 5.664 Å
α = 60.00°, β = 60.00°, γ = 60.00°
Fractional positions:
K: 0.250 0.250 0.250
K: 0.750 0.750 0.750
Cu: 0.000 0.000 0.000
Ir: 0.500 0.500 0.500
O: 0.263 0.263 0.737
O: 0.263 0.737 0.263
O: 0.263 0.737 0.737
O: 0.737 0.263 0.263
O: 0.737 0.263 0.737
O: 0.737 0.737 0.263

Results
V	12.849	Å³/atom
uncorrected energy	-5.277	eV per atom
crystal system	cubic

Record 5
A relaxed Ce2PIr crystal. Source: the Alexandria database, functional PBE-GGA.

a = 8.916 Å, b = 8.916 Å, c = 8.916 Å
α = 23.40°, β = 23.40°, γ = 23.40°
Fractional positions:
Ce: 0.097 0.097 0.097
Ce: 0.903 0.903 0.903
P: 0.500 0.500 0.500
Ir: 0.000 0.000 0.000

Results
polymorph energy (0 for the lowest one)	0.712	eV per atom
V	24.532	Å³/atom
energy of formation	-0.28	eV per atom
crystal system	trigonal

Record 6
A relaxed CdGeAu crystal. Source: the Alexandria database, functional PBE-GGA.

a = 4.420 Å, b = 4.420 Å, c = 3.761 Å
α = 90.00°, β = 90.00°, γ = 120.00°
Fractional positions:
Cd: 0.000 0.000 0.000
Ge: 0.333 0.667 0.458
Au: 0.667 0.333 0.607

Results
V	21.215	Å³/atom
energy of formation	0.07	eV per atom
crystal system	trigonal

Record 7
A relaxed TaHSeBr2 crystal. Source: the Alexandria database, functional PBE-GGA.

a = 5.115 Å, b = 5.115 Å, c = 3.449 Å
α = 90.00°, β = 90.00°, γ = 90.00°
Fractional positions:
Ta: 0.000 0.000 0.000
H: 0.500 0.500 0.500
Se: 0.500 0.500 0.000
Br: 0.000 0.500 0.500
Br: 0.500 0.000 0.500

Results
polymorph energy (0 for the lowest one)	0.714	eV per atom
V	18.049	Å³/atom
crystal system	tetragonal

Record 8
A relaxed Ti3CuOs crystal. Source: the Alexandria database, functional PBE-GGA.

a = 4.458 Å, b = 4.458 Å, c = 4.458 Å
α = 90.00°, β = 90.00°, γ = 90.00°
Fractional positions:
Ti: 0.000 0.000 0.500
Ti: 0.000 0.500 0.000
Ti: 0.500 0.000 0.000
Cu: 0.000 0.000 0.000
Os: 0.500 0.500 0.500

Results
polymorph energy (0 for the lowest one)	0.231	eV per atom
V	17.720	Å³/atom
energy of formation	0.88	eV per atom
crystal system	cubic